## PtWO2F (PBE with a Hubbard U)

Data for PtWO2F after structural relaxation.

The total energy is -4.906 eV/atom.

a = 3.961 Å, b = 3.961 Å, c = 4.612 Å
α = 90.00°, β = 90.00°, γ = 90.00°
Sites, in units of the cell vectors:
Pt1 0.000 0.000 0.000
W1 0.500 0.500 0.500
O1 0.000 0.500 0.000
O2 0.500 0.000 0.000
F1 0.000 0.000 0.500